Entry 1:
# Ac3Ge2Pt3 GGA-PBE relaxed
# magnetic moment = 0.000 μB/f.u.
# ΔE_f = -0.9966 eV per atom
data_Ac3Ge2Pt3
_cell_length_a 4.495
_cell_length_b 11.247
_cell_length_c 16.601
_cell_angle_alpha 90.00
_cell_angle_beta 90.00
_cell_angle_gamma 90.00
_space_group_name_H-M_alt 'C m c m'
_space_group_IT_number 63
_space_group_name_Hall '-C 2c 2'
loop_
_atom_site_label
_atom_site_fract_x
_atom_site_fract_y
_atom_site_fract_z
_atom_site_occupancy
Ac1 0.000 0.066 0.250 1
Ac2 0.000 0.367 0.085 1
Ge1 0.000 0.342 0.618 1
Pt1 0.000 0.084 0.061 1
Pt2 0.000 0.222 0.750 1

=====

Entry 2:
# Tb5Pm5Er GGA-PBE relaxed
# magnetic moment = 0.003 μB/f.u.
# ΔE_f = 0.3332 eV per atom
data_Tb5Pm5Er
_cell_length_a 6.1325
_cell_length_b 6.1325
_cell_length_c 11.5250
_cell_angle_alpha 90.00
_cell_angle_beta 90.00
_cell_angle_gamma 120.00
_space_group_name_H-M_alt 'P -6 m 2'
_space_group_IT_number 187
_space_group_name_Hall 'P -6 2'
loop_
_atom_site_label
_atom_site_fract_x
_atom_site_fract_y
_atom_site_fract_z
_atom_site_occupancy
Tb1 0.0000 0.0000 0.0000 1
Tb2 0.3333 0.6667 0.3167 1
Tb3 0.6667 0.3333 0.1574 1
Pm1 0.0000 0.0000 0.2628 1
Pm2 0.3396 0.1698 0.5000 1
Er1 0.3333 0.6667 0.0000 1

=====

Entry 3:
# GaFeCuPd GGA-PBE relaxed
# magnetic moment = 2.561 μB/f.u.
# ΔE_f = -0.1355 eV per atom
data_GaFeCuPd
_cell_length_a 6.000
_cell_length_b 6.000
_cell_length_c 6.000
_cell_angle_alpha 90.00
_cell_angle_beta 90.00
_cell_angle_gamma 90.00
_space_group_name_H-M_alt 'F -4 3 m'
_space_group_IT_number 216
_space_group_name_Hall 'F -4 2 3'
loop_
_atom_site_label
_atom_site_fract_x
_atom_site_fract_y
_atom_site_fract_z
_atom_site_occupancy
Ga1 0.000 0.000 0.000 1
Fe1 0.250 0.250 0.750 1
Cu1 0.000 0.000 0.500 1
Pd1 0.250 0.250 0.250 1

=====

Entry 4:
# TlIn2Br GGA-PBE relaxed
# energy relative to the lowest polymorph listed for this composition = 27 meV/atom
# magnetic moment = 0.000 μB/f.u.
# energy relative to the elements, uncorrected = -227 meV/atom
data_TlIn2Br
_cell_length_a 11.986
_cell_length_b 3.757
_cell_length_c 5.427
_cell_angle_alpha 90.00
_cell_angle_beta 90.29
_cell_angle_gamma 90.00
_space_group_name_H-M_alt 'C 1 m 1'
_space_group_IT_number 8
_space_group_name_Hall 'C -2y'
loop_
_atom_site_label
_atom_site_fract_x
_atom_site_fract_y
_atom_site_fract_z
_atom_site_occupancy
Tl1 0.000 0.000 0.000 1
In1 0.012 0.500 0.500 1
In2 0.244 0.000 0.503 1
Br1 0.240 0.500 0.002 1

=====

Entry 5:
# Li3Al3Zn2Ag GGA-PBE relaxed
# magnetic moment = 0.000 μB/f.u.
# ΔE_f = -0.1514 eV per atom
data_Li3Al3Zn2Ag
_cell_length_a 7.5950
_cell_length_b 7.5950
_cell_length_c 2.8129
_cell_angle_alpha 90.00
_cell_angle_beta 90.00
_cell_angle_gamma 120.00
_space_group_name_H-M_alt 'P -6 2 m'
_space_group_IT_number 189
_space_group_name_Hall 'P -6 -2'
loop_
_atom_site_label
_atom_site_fract_x
_atom_site_fract_y
_atom_site_fract_z
_atom_site_occupancy
Li1 0.0000 0.3052 0.0000 1
Al1 0.0000 0.6413 0.5000 1
Zn1 0.3333 0.6667 0.0000 1
Ag1 0.0000 0.0000 0.5000 1

=====

Entry 6:
# Sm3GaRu3 GGA-PBE relaxed
# magnetic moment = 0.000 μB/f.u.
# ΔE_f = -0.3685 eV per atom
data_Sm3GaRu3
_cell_length_a 4.231
_cell_length_b 10.609
_cell_length_c 13.541
_cell_angle_alpha 90.00
_cell_angle_beta 90.00
_cell_angle_gamma 90.00
_space_group_name_H-M_alt 'C m c m'
_space_group_IT_number 63
_space_group_name_Hall '-C 2c 2'
loop_
_atom_site_label
_atom_site_fract_x
_atom_site_fract_y
_atom_site_fract_z
_atom_site_occupancy
Sm1 0.000 0.008 0.250 1
Sm2 0.000 0.297 0.105 1
Ga1 0.000 0.000 0.000 1
Ru1 0.000 0.287 0.750 1
Ru2 0.000 0.416 0.594 1

=====

Entry 7:
# YNiGeH GGA-PBE relaxed
# total energy = -5.778 eV per atom
# magnetic moment = 0.000 μB/f.u.
data_YNiGeH
_cell_length_a 3.956
_cell_length_b 3.956
_cell_length_c 7.310
_cell_angle_alpha 90.00
_cell_angle_beta 90.00
_cell_angle_gamma 90.00
_space_group_name_H-M_alt 'P 4/n m m'
_space_group_IT_number 129
loop_
_space_group_symop_operation_xyz
'x,y,z'
'-x,-y,-z'
'-y+1/2,x,z'
'y+1/2,-x,-z'
'-x+1/2,-y+1/2,z'
'x+1/2,y+1/2,-z'
'y,-x+1/2,z'
'-y,x+1/2,-z'
'x+1/2,-y,-z'
'-x+1/2,y,z'
'-y,-x,-z'
'y,x,z'
'-x,y+1/2,-z'
'x,-y+1/2,z'
'y+1/2,x+1/2,-z'
'-y+1/2,-x+1/2,z'
loop_
_atom_site_label
_atom_site_fract_x
_atom_site_fract_y
_atom_site_fract_z
_atom_site_occupancy
Y1 0.250 0.250 0.163 1
Ni1 0.250 0.750 0.500 1
Ge1 0.250 0.250 0.679 1
H1 0.250 0.750 0.000 1

=====

Entry 8:
# Pm3Cd2Hg GGA-PBE relaxed
# magnetic moment = 1.213 μB/f.u.
# ΔE_f = -0.3707 eV per atom
data_Pm3Cd2Hg
_cell_length_a 3.824
_cell_length_b 3.824
_cell_length_c 11.486
_cell_angle_alpha 90.00
_cell_angle_beta 90.00
_cell_angle_gamma 90.00
_space_group_name_H-M_alt 'P 4/m m m'
_space_group_IT_number 123
_space_group_name_Hall '-P 4 2'
loop_
_atom_site_label
_atom_site_fract_x
_atom_site_fract_y
_atom_site_fract_z
_atom_site_occupancy
Pm1 0.000 0.000 0.000 1
Pm2 0.000 0.000 0.335 1
Cd1 0.500 0.500 0.165 1
Hg1 0.500 0.500 0.500 1